<A>
Density functional theory data (PBE-GGA) for a geometry-optimized KSeF2 structure.

The structure in CIF format:
```
data_KSeF2
_chemical_formula_sum 'K3 Se3 F6'
_symmetry_space_group_name_H-M 'R -3 m'
_symmetry_Int_Tables_number 166
_symmetry_space_group_name_Hall '-R 3 2"'
_cell_length_a 3.2123
_cell_length_b 3.2123
_cell_length_c 25.4599
_cell_angle_alpha 90.00
_cell_angle_beta 90.00
_cell_angle_gamma 120.00
loop_
_atom_site_label
_atom_site_fract_x
_atom_site_fract_y
_atom_site_fract_z
K1 0.0000 0.0000 0.0000
Se1 0.0000 0.0000 0.5000
F1 0.0000 0.0000 0.0896
```

<B>
Density functional theory data (PBE-GGA) for a geometry-optimized KSeF2 structure.

The structure in CIF format:
```
data_KSeF2
_chemical_formula_sum 'K4 Se4 F8'
_symmetry_space_group_name_H-M 'F m -3 m'
_symmetry_Int_Tables_number 225
_symmetry_space_group_name_Hall '-F 4 2 3'
_cell_length_a 6.631
_cell_length_b 6.631
_cell_length_c 6.631
_cell_angle_alpha 90.00
_cell_angle_beta 90.00
_cell_angle_gamma 90.00
loop_
_atom_site_label
_atom_site_fract_x
_atom_site_fract_y
_atom_site_fract_z
K1 0.000 0.000 0.000
Se1 0.000 0.000 0.500
F1 0.250 0.250 0.250
```

<C>
Density functional theory data (PBE-GGA) for a geometry-optimized KSeF2 structure.

The structure in CIF format:
```
data_KSeF2
_chemical_formula_sum 'K3 Se3 F6'
_symmetry_space_group_name_H-M 'R -3 m'
_symmetry_Int_Tables_number 166
_symmetry_space_group_name_Hall '-R 3 2"'
_cell_length_a 3.7857
_cell_length_b 3.7857
_cell_length_c 20.6573
_cell_angle_alpha 90.00
_cell_angle_beta 90.00
_cell_angle_gamma 120.00
loop_
_atom_site_label
_atom_site_fract_x
_atom_site_fract_y
_atom_site_fract_z
K1 0.0000 0.0000 0.0000
Se1 0.0000 0.0000 0.5000
F1 0.0000 0.0000 0.4023
```

It turns out <C> is the most stable, with the second structure 559 meV per atom higher.